SiIrBr2 (PBE, relaxed); raw total energy = -4.2446 eV per atom; volume = 23.64 A^3/atom; SG = No. 12
1.0
-1.7337 6.5606 4.9527
-1.4492 4.4591 6.9709
3.7713 0.9351 0.4420
Br Ir Si
2 1 1
Cartesian
-0.1504 1.1322 1.2002
0.4446 4.8452 4.9826
0.4414 8.9661 9.2742
0.1471 2.9887 3.0914

=====

SrZr3I (PBE, relaxed); raw total energy = -5.1255 eV per atom; volume = 31.51 A^3/atom; SG = No. 221
1.0
5.4008 0.0000 0.0000
0.0000 5.4008 0.0000
0.0000 0.0000 5.4008
I Sr Zr
1 1 3
Cartesian
0.0000 0.0000 0.0000
2.7004 2.7004 2.7004
0.0000 2.7004 0.0000
0.0000 0.0000 2.7004
2.7004 0.0000 0.0000

=====

BaAlRu2 (PBE, relaxed); calculated formation energy = 554 meV per atom; volume = 20.39 A^3/atom; SG = No. 44
1.0
6.0210 0.0106 -0.0221
3.0534 5.1893 0.0221
-3.8109 -3.8673 2.6026
Ru Ba Al
2 1 1
Cartesian
8.7032 4.9873 0.0000
3.4263 -0.5982 1.2902
1.8290 1.9261 1.3124
4.9164 2.8173 0.0000

=====

Sm6Pd2Pt (PBE, relaxed); calculated formation energy = -606 meV per atom; volume = 26.84 A^3/atom; SG = No. 71
1.0
8.0792 0.1215 -2.8373
-4.2513 6.9743 -2.5738
0.0145 -0.1215 8.5629
Sm Pd Pt
12 4 2
Cartesian
1.4383 5.0892 3.6081
2.4041 1.8851 -0.4563
-0.3557 1.7637 6.1440
4.1981 5.2106 -2.9923
3.4337 5.2329 0.5791
0.4087 1.7414 2.5727
-1.6748 5.1115 5.5180
5.5172 1.8629 -2.3662
4.1103 2.5813 2.7731
-0.2679 4.3930 0.3786
-1.6874 6.6891 2.3853
5.5298 0.2853 0.7665
2.4870 2.5230 5.0678
1.3554 4.4513 -1.9160
5.3232 0.0000 3.7657
2.7705 0.0000 1.9599
-2.1184 3.4264 2.9946
0.0000 0.0000 0.0000